Arrangement A

Below is Ca2YPt after structural relaxation, with properties calculated at the PBEsol level.

Cell: 4.3191 4.3191 5.2803 Å, 90.00 90.00 90.00°
Closest atoms and distances in Å follow each position.
Atoms (fractional coordinates):
Y 0.0000 0.0000 0.5000  4 Pt 3.05, 8 Ca 3.41
Ca 0.0000 0.5000 0.0000  4 Ca 3.05, 4 Pt 3.41, 4 Y 3.41
Ca 0.5000 0.0000 0.0000  4 Ca 3.05, 4 Pt 3.41, 4 Y 3.41
Pt 0.5000 0.5000 0.5000  4 Y 3.05, 8 Ca 3.41

density = 6.14 g cm⁻³

Arrangement B

Below is Ca2YPt after structural relaxation, with properties calculated at the PBEsol level.

Cell: 3.7792 4.0661 8.2922 Å, 104.19 90.00 90.00°
Closest atoms and distances in Å follow each position.
Atoms (fractional coordinates):
Ca 0.0000 0.0876 0.1752  1 Pt 2.95
Ca 0.5000 0.4169 0.8338  2 Pt 3.01
Y 0.5000 0.7360 0.4721  4 Pt 2.83
Pt 0.0000 0.2714 0.5427  4 Y 2.83, 3 Ca 2.95-3.01

density = 4.89 g cm⁻³

Most stable pick: arrangement B. Distance to second place: 249 meV per atom.

Arrangement A

Below is CaZn2Pt2 after structural relaxation, with properties calculated at the PBEsol level.

Cell: 4.1176 4.1176 5.9860 Å, 110.12 110.12 90.00°
Closest atoms and distances in Å follow each position.
Atoms (fractional coordinates):
Zn 0.6143 0.6143 0.2286  1 Zn 2.39, 4 Pt 2.50
Zn 0.3857 0.3857 0.7714  1 Zn 2.39, 4 Pt 2.50
Pt 0.2500 0.7500 0.5000  4 Zn 2.50
Pt 0.7500 0.2500 0.5000  4 Zn 2.50
Ca 0.0000 0.0000 0.0000  8 Zn 3.15, 8 Pt 3.33

density = 10.51 g cm⁻³

Arrangement B

Below is CaZn2Pt2 after structural relaxation, with properties calculated at the PBEsol level.

Cell: 2.8556 7.5761 7.5761 Å, 90.00 90.00 90.00°
Closest atoms and distances in Å follow each position.
Atoms (fractional coordinates):
Pt 0.0000 0.1593 0.3407  6 Zn 2.62-2.66, 2 Ca 2.85, 2 Pt 2.86
Zn 0.5000 0.8640 0.3640  6 Pt 2.62-2.66, 3 Zn 2.86-2.91
Pt 0.0000 0.6593 0.1593  6 Zn 2.62-2.66, 2 Ca 2.85, 2 Pt 2.86
Pt 0.0000 0.8407 0.6593  6 Zn 2.62-2.66, 2 Ca 2.85, 2 Pt 2.86
Pt 0.0000 0.3407 0.8407  6 Zn 2.62-2.66, 2 Ca 2.85, 2 Pt 2.86
Ca 0.0000 0.5000 0.5000  4 Pt 2.85, 2 Ca 2.86
Zn 0.5000 0.3640 0.1360  6 Pt 2.62-2.66, 3 Zn 2.86-2.91
Ca 0.0000 0.0000 0.0000  4 Pt 2.85, 2 Ca 2.86
Zn 0.5000 0.6360 0.8640  6 Pt 2.62-2.66, 3 Zn 2.86-2.91
Zn 0.5000 0.1360 0.6360  6 Pt 2.62-2.66, 3 Zn 2.86-2.91

density = 11.37 g cm⁻³

Most stable pick: arrangement B. Distance to second place: 10 meV per atom.

Arrangement A

Below is RbCa3Rh after structural relaxation, with properties calculated at the PBEsol level.

Cell: 5.3442 5.3442 5.3442 Å, 90.00 90.00 90.00°
Closest atoms and distances in Å follow each position.
Atoms (fractional coordinates):
Ca 0.0000 0.0000 0.5000  2 Rb 2.67
Ca 0.0000 0.5000 0.0000  2 Rb 2.67
Ca 0.5000 0.0000 0.0000  2 Rb 2.67
Rb 0.0000 0.0000 0.0000  6 Ca 2.67
Rh 0.5000 0.5000 0.5000  12 Ca 3.78

density = 3.36 g cm⁻³

Arrangement B

Below is RbCa3Rh after structural relaxation, with properties calculated at the PBEsol level.

Cell: 4.1173 9.0601 10.5502 Å, 91.75 90.00 90.00°
Closest atoms and distances in Å follow each position.
Atoms (fractional coordinates):
Rh 0.2500 0.7499 0.4928  8 Ca 2.81-3.09
Ca 0.7500 0.7424 0.3116  2 Rh 2.81
Rh 0.7500 0.2501 0.5072  8 Ca 2.81-3.09
Ca 0.2500 0.4293 0.3833  3 Rh 2.95-3.09
Ca 0.7500 0.9384 0.6181  3 Rh 2.96-3.09
Ca 0.2500 0.2576 0.6884  2 Rh 2.81
Rb 0.7500 0.2482 0.0519  2 Rb 4.12, 6 Ca 4.34-4.42
Ca 0.7500 0.5707 0.6167  3 Rh 2.95-3.09
Rb 0.2500 0.7518 0.9481  2 Rb 4.12, 6 Ca 4.34-4.42
Ca 0.2500 0.0616 0.3819  3 Rh 2.96-3.09

density = 2.61 g cm⁻³

Most stable pick: arrangement B. Distance to second place: 1720 meV per atom.

Arrangement A

Below is RbCa2Sn2 after structural relaxation, with properties calculated at the PBEsol level.

Cell: 3.3513 9.6423 9.6423 Å, 90.00 90.00 90.00°
Closest atoms and distances in Å follow each position.
Atoms (fractional coordinates):
Sn 0.5000 0.3293 0.1707  6 Ca 3.24-3.34, 2 Sn 3.35
Sn 0.5000 0.6707 0.8293  6 Ca 3.24-3.34, 2 Sn 3.35
Ca 0.0000 0.6256 0.1256  6 Sn 3.24-3.34, 3 Ca 3.35-3.43
Rb 0.0000 0.0000 0.0000  2 Rb 3.35
Ca 0.0000 0.3744 0.8744  6 Sn 3.24-3.34, 3 Ca 3.35-3.43
Rb 0.0000 0.5000 0.5000  2 Rb 3.35
Sn 0.5000 0.1707 0.6707  6 Ca 3.24-3.34, 2 Sn 3.35
Ca 0.0000 0.8744 0.6256  6 Sn 3.24-3.34, 3 Ca 3.35-3.43
Ca 0.0000 0.1256 0.3744  6 Sn 3.24-3.34, 3 Ca 3.35-3.43
Sn 0.5000 0.8293 0.3293  6 Ca 3.24-3.34, 2 Sn 3.35

density = 4.30 g cm⁻³

Arrangement B

Below is RbCa2Sn2 after structural relaxation, with properties calculated at the PBEsol level.

Cell: 5.6466 5.6466 7.4038 Å, 112.42 112.42 90.00°
Closest atoms and distances in Å follow each position.
Atoms (fractional coordinates):
Ca 0.6548 0.6548 0.3095  4 Sn 3.06
Rb 0.0000 0.0000 0.0000  8 Sn 4.21, 10 Ca 4.30-4.43
Sn 0.7500 0.2500 0.5000  4 Ca 3.06
Sn 0.2500 0.7500 0.5000  4 Ca 3.06
Ca 0.3452 0.3452 0.6905  4 Sn 3.06

density = 3.37 g cm⁻³

Most stable pick: arrangement A. Distance to second place: 348 meV per atom.

Arrangement A

Below is CaRe3 after structural relaxation, with properties calculated at the PBEsol level.

Cell: 2.6883 4.5279 5.3326 Å, 90.00 98.83 90.00°
Closest atoms and distances in Å follow each position.
Atoms (fractional coordinates):
Ca 0.0000 0.0000 0.0000  2 Ca 2.69, 6 Re 2.80-2.81
Re 0.2733 0.5000 0.7418  6 Re 2.69-2.84, 2 Ca 2.81
Re 0.5000 0.0000 0.5000  6 Re 2.69-2.72, 2 Ca 2.80
Re 0.7267 0.5000 0.2582  6 Re 2.69-2.84, 2 Ca 2.81

density = 15.50 g cm⁻³

Arrangement B

Below is CaRe3 after structural relaxation, with properties calculated at the PBEsol level.

Cell: 2.8059 2.8059 9.6470 Å, 90.00 90.00 120.00°
Closest atoms and distances in Å follow each position.
Atoms (fractional coordinates):
Re 0.3333 0.6667 0.7235  9 Re 2.70-2.81
Ca 0.0000 0.0000 0.0000  6 Ca 2.81, 6 Re 3.12
Re 0.3333 0.6667 0.2765  9 Re 2.70-2.81
Re 0.0000 0.0000 0.5000  12 Re 2.70-2.81

density = 15.11 g cm⁻³

Most stable pick: arrangement B. Distance to second place: 22 meV per atom.

Arrangement A

Below is Ca3Re after structural relaxation, with properties calculated at the PBEsol level.

Cell: 3.3738 3.3738 11.2768 Å, 81.40 81.40 60.00°
Closest atoms and distances in Å follow each position.
Atoms (fractional coordinates):
Ca 0.5000 0.5000 0.5000  6 Ca 3.37
Re 0.0000 0.0000 0.0000  6 Ca 2.93
Ca 0.7325 0.7325 0.8025  3 Re 2.93
Ca 0.2675 0.2675 0.1975  3 Re 2.93

density = 4.65 g cm⁻³

Arrangement B

Below is Ca3Re after structural relaxation, with properties calculated at the PBEsol level.

Cell: 4.6507 4.6507 4.6507 Å, 90.00 90.00 90.00°
Closest atoms and distances in Å follow each position.
Atoms (fractional coordinates):
Ca 0.5000 0.5000 0.0000  8 Ca 3.29, 4 Re 3.29
Ca 0.0000 0.5000 0.5000  8 Ca 3.29, 4 Re 3.29
Ca 0.5000 0.0000 0.5000  4 Re 3.29, 8 Ca 3.29
Re 0.0000 0.0000 0.0000  12 Ca 3.29

density = 5.06 g cm⁻³

Most stable pick: arrangement A. Distance to second place: 40 meV per atom.

Arrangement A

Below is Ca2ReRu after structural relaxation, with properties calculated at the PBEsol level.

Cell: 2.9413 5.2655 5.4235 Å, 60.96 89.37 88.71°
Closest atoms and distances in Å follow each position.
Atoms (fractional coordinates):
Ca 0.0000 0.5000 0.5000  4 Ca 2.63-2.94
Ru 0.5000 0.5000 0.0000  2 Re 2.63, 2 Ru 2.94
Ca 0.0000 0.0000 0.5000  4 Ca 2.63-2.94
Re 0.5000 0.0000 0.0000  2 Ru 2.63, 2 Re 2.94

density = 8.31 g cm⁻³

Arrangement B

Below is Ca2ReRu after structural relaxation, with properties calculated at the PBEsol level.

Cell: 2.9248 4.7581 5.2855 Å, 90.00 96.88 90.00°
Closest atoms and distances in Å follow each position.
Atoms (fractional coordinates):
Ca 0.0379 0.0000 0.2536  4 Ca 2.64-2.92
Ca 0.9621 0.0000 0.7464  4 Ca 2.64-2.92
Ru 0.5000 0.5000 0.5000  2 Re 2.64, 2 Ru 2.92, 4 Ca 2.96
Re 0.5000 0.5000 0.0000  2 Ru 2.64, 2 Re 2.92

density = 8.36 g cm⁻³

Most stable pick: arrangement B. Distance to second place: 6 meV per atom.

Arrangement A

Below is CaReSb after structural relaxation, with properties calculated at the PBEsol level.

Cell: 4.7300 4.7300 4.7300 Å, 60.00 60.00 60.00°
Closest atoms and distances in Å follow each position.
Atoms (fractional coordinates):
Re 0.0000 0.0000 0.0000  4 Ca 2.90
Sb 0.5000 0.5000 0.5000  4 Ca 2.90
Ca 0.2500 0.2500 0.2500  4 Re 2.90, 4 Sb 2.90

density = 7.72 g cm⁻³

Arrangement B

Below is CaReSb after structural relaxation, with properties calculated at the PBEsol level.

Cell: 3.4227 3.4227 5.9588 Å, 106.69 106.69 90.00°
Closest atoms and distances in Å follow each position.
Atoms (fractional coordinates):
Ca 0.0065 0.0065 0.0130  5 Re 3.16-3.42, 5 Sb 3.21-3.30, 4 Ca 3.42
Re 0.6926 0.6926 0.3852  4 Sb 2.69
Sb 0.3009 0.3009 0.6018  4 Re 2.69

density = 9.06 g cm⁻³

Most stable pick: arrangement B. Distance to second place: 1346 meV per atom.

Arrangement A

Below is CaSc2Re after structural relaxation, with properties calculated at the PBEsol level.

Cell: 4.8302 4.8302 4.8302 Å, 60.00 60.00 60.00°
Closest atoms and distances in Å follow each position.
Atoms (fractional coordinates):
Sc 0.2500 0.2500 0.2500  4 Ca 2.96, 4 Re 2.96
Re 0.0000 0.0000 0.0000  8 Sc 2.96
Sc 0.7500 0.7500 0.7500  4 Re 2.96, 4 Ca 2.96
Ca 0.5000 0.5000 0.5000  8 Sc 2.96

density = 6.59 g cm⁻³

Arrangement B

Below is CaSc2Re after structural relaxation, with properties calculated at the PBEsol level.

Cell: 3.2377 3.2377 10.3764 Å, 81.02 81.02 60.00°
Closest atoms and distances in Å follow each position.
Atoms (fractional coordinates):
Ca 0.0000 0.0000 0.0000  2 Sc 3.18, 6 Ca 3.24
Sc 0.8960 0.8960 0.3119  3 Re 2.68
Sc 0.1040 0.1040 0.6881  3 Re 2.68
Re 0.5000 0.5000 0.5000  6 Sc 2.68

density = 5.67 g cm⁻³

Most stable pick: arrangement A. Distance to second place: 54 meV per atom.

Arrangement A

Below is CaReTe after structural relaxation, with properties calculated at the PBEsol level.

Cell: 4.7794 4.7794 4.7794 Å, 60.00 60.00 60.00°
Closest atoms and distances in Å follow each position.
Atoms (fractional coordinates):
Te 0.5000 0.5000 0.5000  4 Ca 2.93
Re 0.0000 0.0000 0.0000  4 Ca 2.93
Ca 0.2500 0.2500 0.2500  4 Re 2.93, 4 Te 2.93

density = 7.61 g cm⁻³

Arrangement B

Below is CaReTe after structural relaxation, with properties calculated at the PBEsol level.

Cell: 4.6096 4.6096 4.6096 Å, 60.00 60.00 60.00°
Closest atoms and distances in Å follow each position.
Atoms (fractional coordinates):
Ca 0.0000 0.0000 0.0000  4 Te 2.82
Te 0.2500 0.2500 0.2500  4 Re 2.82, 4 Ca 2.82
Re 0.5000 0.5000 0.5000  4 Te 2.82

density = 8.48 g cm⁻³

Most stable pick: arrangement B. Distance to second place: 718 meV per atom.

Arrangement A

Below is Ca2TlRe after structural relaxation, with properties calculated at the PBEsol level.

Cell: 3.2477 3.2477 10.2902 Å, 80.92 80.92 60.00°
Closest atoms and distances in Å follow each position.
Atoms (fractional coordinates):
Re 0.5000 0.5000 0.5000  6 Ca 2.96, 6 Re 3.25
Ca 0.2420 0.2420 0.2740  3 Re 2.96, 6 Ca 3.25
Ca 0.7580 0.7580 0.7260  3 Re 2.96, 6 Ca 3.25
Tl 0.0000 0.0000 0.0000  6 Tl 3.25, 6 Ca 3.35

density = 8.46 g cm⁻³

Arrangement B

Below is Ca2TlRe after structural relaxation, with properties calculated at the PBEsol level.

Cell: 4.4599 4.4599 5.4524 Å, 114.14 114.14 90.00°
Closest atoms and distances in Å follow each position.
Atoms (fractional coordinates):
Re 0.5000 0.5000 0.0000  4 Tl 3.15, 8 Ca 3.15
Tl 0.2500 0.7500 0.5000  4 Re 3.15, 8 Ca 3.15
Ca 0.0000 0.0000 0.0000  4 Tl 3.15, 4 Ca 3.15, 4 Re 3.15
Ca 0.7500 0.2500 0.5000  4 Re 3.15, 4 Ca 3.15, 4 Tl 3.15

density = 8.84 g cm⁻³

Most stable pick: arrangement B. Distance to second place: 28 meV per atom.

Arrangement A

Below is CaZr2Re after structural relaxation, with properties calculated at the PBEsol level.

Cell: 3.2248 4.4432 6.9891 Å, 94.54 90.00 111.28°
Closest atoms and distances in Å follow each position.
Atoms (fractional coordinates):
Ca 0.0000 0.0000 0.5000  2 Zr 3.03, 2 Ca 3.22
Re 0.5000 0.0000 0.0000  6 Zr 2.68-2.73
Zr 0.2290 0.4580 0.1838  3 Re 2.68-2.73
Zr 0.7710 0.5420 0.8162  3 Re 2.68-2.73

density = 7.30 g cm⁻³

Arrangement B

Below is CaZr2Re after structural relaxation, with properties calculated at the PBEsol level.

Cell: 3.1986 3.1986 9.9914 Å, 80.79 80.79 60.00°
Closest atoms and distances in Å follow each position.
Atoms (fractional coordinates):
Re 0.2572 0.2572 0.2285  3 Zr 2.67, 3 Ca 2.96
Ca 0.5120 0.5120 0.4640  3 Re 2.96, 6 Ca 3.20
Zr 0.9891 0.9891 0.0326  3 Re 2.67
Zr 0.7417 0.7417 0.7749  9 Zr 3.13-3.20

density = 7.80 g cm⁻³

Most stable pick: arrangement A. Distance to second place: 112 meV per atom.

Arrangement A

Below is SrCaRh after structural relaxation, with properties calculated at the PBEsol level.

Cell: 4.9495 4.9495 4.9495 Å, 60.00 60.00 60.00°
Closest atoms and distances in Å follow each position.
Atoms (fractional coordinates):
Rh 0.2500 0.2500 0.2500  4 Ca 3.03, 4 Sr 3.03
Ca 0.5000 0.5000 0.5000  4 Rh 3.03
Sr 0.0000 0.0000 0.0000  4 Rh 3.03

density = 4.47 g cm⁻³

Arrangement B

Below is SrCaRh after structural relaxation, with properties calculated at the PBEsol level.

Cell: 3.5272 3.5272 7.2834 Å, 104.02 104.02 89.97°
Closest atoms and distances in Å follow each position.
Atoms (fractional coordinates):
Sr 0.7086 0.7086 0.4171  4 Rh 3.07, 1 Ca 3.33
Ca 0.9522 0.9522 0.9044  4 Rh 2.93-2.94
Rh 0.3392 0.3392 0.6785  4 Ca 2.93-2.94, 4 Sr 3.07

density = 4.50 g cm⁻³

Most stable pick: arrangement B. Distance to second place: 59 meV per atom.

Arrangement A

Below is Ca2TaRh after structural relaxation, with properties calculated at the PBEsol level.

Cell: 3.3516 3.3516 8.9618 Å, 90.00 89.98 90.00°
Closest atoms and distances in Å follow each position.
Atoms (fractional coordinates):
Ca 0.5004 0.5000 0.3189  1 Ta 3.19, 4 Rh 3.23, 4 Ca 3.35
Ca 0.9995 0.0000 0.9433  4 Ca 3.35, 4 Ta 3.38, 1 Rh 3.41
Ta 0.5000 0.5000 0.6748  4 Rh 2.57
Rh 0.0001 0.0000 0.5630  4 Ta 2.57

density = 6.00 g cm⁻³

Arrangement B

Below is Ca2TaRh after structural relaxation, with properties calculated at the PBEsol level.

Cell: 3.9761 3.9761 5.0468 Å, 90.00 90.00 90.00°
Closest atoms and distances in Å follow each position.
Atoms (fractional coordinates):
Ta 0.0000 0.0000 0.5000  4 Rh 2.81
Ca 0.5000 0.0000 0.0000  4 Ca 2.81
Rh 0.5000 0.5000 0.5000  4 Ta 2.81
Ca 0.0000 0.5000 0.0000  4 Ca 2.81

density = 7.58 g cm⁻³

Most stable pick: arrangement A. Distance to second place: 442 meV per atom.